[1]
A plane-wave DFT calculation with GGA-PBE was carried out for crystalline PmPrAsBr at its relaxed geometry.

Properties
Fermi-level density of states in states/eV per cell: 1.20
SG: No. 160
E above lowest polymorph in eV/atom: 0.000

Structure (CIF):
```
data_PmPrAsBr
_cell_length_a 4.188
_cell_length_b 4.189
_cell_length_c 7.916
_cell_angle_alpha 90.00
_cell_angle_beta 105.33
_cell_angle_gamma 120.01
_space_group_name_H-M_alt 'P 1'
_space_group_IT_number 1
_space_group_name_Hall 'P 1'
loop_
_atom_site_label
_atom_site_fract_x
_atom_site_fract_y
_atom_site_fract_z
_atom_site_occupancy
Pm1 0.110 0.953 0.078 1
Pr1 0.495 0.145 0.656 1
As1 0.309 0.552 0.876 1
Br1 0.964 0.380 0.360 1
```



[2]
A plane-wave DFT calculation with GGA-PBE was carried out for crystalline PmPuAsBr at its relaxed geometry.

Properties
Fermi-level density of states in states/eV per cell: 6.95
SG: No. 216

Structure (CIF):
```
data_PmPuAsBr
_cell_length_a 5.174
_cell_length_b 5.174
_cell_length_c 5.174
_cell_angle_alpha 60.00
_cell_angle_beta 60.00
_cell_angle_gamma 60.00
_space_group_name_H-M_alt 'P 1'
_space_group_IT_number 1
_space_group_name_Hall 'P 1'
loop_
_atom_site_label
_atom_site_fract_x
_atom_site_fract_y
_atom_site_fract_z
_atom_site_occupancy
As1 0.000 0.000 0.000 1
Pm1 0.250 0.250 0.250 1
Br1 0.500 0.500 0.500 1
Pu1 0.750 0.750 0.750 1
```



[3]
A plane-wave DFT calculation with GGA-PBE was carried out for crystalline Pm8AsRh3Br4 at its relaxed geometry.

Properties
Fermi-level density of states in states/eV per cell: 10.39
SG: No. 166

Structure (CIF):
```
data_Pm8AsRh3Br4
_cell_length_a 8.357
_cell_length_b 9.025
_cell_length_c 8.356
_cell_angle_alpha 117.59
_cell_angle_beta 120.00
_cell_angle_gamma 90.00
_space_group_name_H-M_alt 'P 1'
_space_group_IT_number 1
_space_group_name_Hall 'P 1'
loop_
_atom_site_label
_atom_site_fract_x
_atom_site_fract_y
_atom_site_fract_z
_atom_site_occupancy
Pm1 0.240 0.698 0.958 1
Pm2 0.240 0.698 0.480 1
Pm3 0.267 0.303 0.535 1
Pm4 0.718 0.698 0.958 1
Pm5 0.282 0.302 0.042 1
Pm6 0.733 0.697 0.465 1
Pm7 0.760 0.302 0.520 1
Pm8 0.760 0.302 0.042 1
As1 0.000 0.500 0.000 1
Rh1 0.500 0.500 0.000 1
Rh2 0.500 0.500 0.500 1
Rh3 0.000 0.500 0.500 1
Br1 0.500 0.000 0.000 1
Br2 0.500 0.000 0.500 1
Br3 0.000 0.000 0.000 1
Br4 0.000 0.000 0.500 1
```



[4]
A plane-wave DFT calculation with GGA-PBE was carried out for crystalline Pm6AsRu2Br3 at its relaxed geometry.

Properties
Fermi-level density of states in states/eV per cell: 9.83
SG: No. 12

Structure (CIF):
```
data_Pm6AsRu2Br3
_cell_length_a 7.230
_cell_length_b 7.230
_cell_length_c 7.983
_cell_angle_alpha 98.74
_cell_angle_beta 98.74
_cell_angle_gamma 119.99
_space_group_name_H-M_alt 'P 1'
_space_group_IT_number 1
_space_group_name_Hall 'P 1'
loop_
_atom_site_label
_atom_site_fract_x
_atom_site_fract_y
_atom_site_fract_z
_atom_site_occupancy
Pm1 0.935 0.583 0.801 1
Pm2 0.714 0.714 0.198 1
Pm3 0.065 0.417 0.199 1
Pm4 0.583 0.935 0.801 1
Pm5 0.286 0.286 0.802 1
Pm6 0.417 0.065 0.199 1
As1 0.000 0.000 0.000 1
Ru1 0.333 0.667 0.000 1
Ru2 0.667 0.333 0.000 1
Br1 0.163 0.837 0.500 1
Br2 0.837 0.163 0.500 1
Br3 0.500 0.500 0.500 1
```



[5]
A plane-wave DFT calculation with GGA-PBE was carried out for crystalline Pm6As2S3Br at its relaxed geometry.

Properties
Fermi-level density of states in states/eV per cell: 4.86
SG: No. 12

Structure (CIF):
```
data_Pm6As2S3Br
_cell_length_a 4.133
_cell_length_b 8.316
_cell_length_c 9.271
_cell_angle_alpha 102.95
_cell_angle_beta 102.88
_cell_angle_gamma 90.00
_space_group_name_H-M_alt 'P 1'
_space_group_IT_number 1
_space_group_name_Hall 'P 1'
loop_
_atom_site_label
_atom_site_fract_x
_atom_site_fract_y
_atom_site_fract_z
_atom_site_occupancy
Pm1 0.321 0.914 0.642 1
Pm2 0.667 0.586 0.333 1
Pm3 0.679 0.086 0.358 1
Pm4 0.999 0.280 0.999 1
Pm5 0.001 0.720 0.001 1
Pm6 0.333 0.414 0.667 1
As1 0.835 0.671 0.671 1
As2 0.165 0.329 0.329 1
S1 0.500 0.500 0.000 1
S2 0.838 0.167 0.675 1
S3 0.162 0.833 0.325 1
Br1 0.500 0.000 0.000 1
```



[6]
A plane-wave DFT calculation with GGA-PBE was carried out for crystalline Pm4AsS2Br at its relaxed geometry.

Properties
Fermi-level density of states in states/eV per cell: 2.61
SG: No. 10

Structure (CIF):
```
data_Pm4AsS2Br
_cell_length_a 4.134
_cell_length_b 7.207
_cell_length_c 7.205
_cell_angle_alpha 70.63
_cell_angle_beta 90.00
_cell_angle_gamma 90.00
_space_group_name_H-M_alt 'P 1'
_space_group_IT_number 1
_space_group_name_Hall 'P 1'
loop_
_atom_site_label
_atom_site_fract_x
_atom_site_fract_y
_atom_site_fract_z
_atom_site_occupancy
Pm1 0.000 0.784 0.719 1
Pm2 0.000 0.216 0.281 1
Pm3 0.500 0.769 0.265 1
Pm4 0.500 0.231 0.735 1
As1 0.000 0.500 0.500 1
S1 0.000 0.000 0.000 1
S2 0.500 0.000 0.500 1
Br1 0.500 0.500 0.000 1
```



[7]
A plane-wave DFT calculation with GGA-PBE was carried out for crystalline Pm4As2SBr at its relaxed geometry.

Properties
Fermi-level density of states in states/eV per cell: 3.64
SG: No. 10

Structure (CIF):
```
data_Pm4As2SBr
_cell_length_a 4.187
_cell_length_b 7.245
_cell_length_c 7.339
_cell_angle_alpha 70.77
_cell_angle_beta 90.00
_cell_angle_gamma 90.00
_space_group_name_H-M_alt 'P 1'
_space_group_IT_number 1
_space_group_name_Hall 'P 1'
loop_
_atom_site_label
_atom_site_fract_x
_atom_site_fract_y
_atom_site_fract_z
_atom_site_occupancy
Pm1 0.000 0.770 0.727 1
Pm2 0.000 0.230 0.273 1
Pm3 0.500 0.759 0.263 1
Pm4 0.500 0.241 0.737 1
As1 0.000 0.000 0.000 1
As2 0.500 0.000 0.500 1
S1 0.000 0.500 0.500 1
Br1 0.500 0.500 0.000 1
```



[8]
A plane-wave DFT calculation with GGA-PBE was carried out for crystalline Pm6As3S2Br at its relaxed geometry.

Properties
Fermi-level density of states in states/eV per cell: 3.99
SG: No. 12

Structure (CIF):
```
data_Pm6As3S2Br
_cell_length_a 4.179
_cell_length_b 8.359
_cell_length_c 9.331
_cell_angle_alpha 102.27
_cell_angle_beta 102.94
_cell_angle_gamma 90.00
_space_group_name_H-M_alt 'P 1'
_space_group_IT_number 1
_space_group_name_Hall 'P 1'
loop_
_atom_site_label
_atom_site_fract_x
_atom_site_fract_y
_atom_site_fract_z
_atom_site_occupancy
Pm1 0.323 0.907 0.646 1
Pm2 0.668 0.583 0.337 1
Pm3 0.677 0.093 0.354 1
Pm4 0.004 0.273 0.007 1
Pm5 0.996 0.727 0.993 1
Pm6 0.332 0.417 0.663 1
As1 0.500 0.500 0.000 1
As2 0.839 0.165 0.677 1
As3 0.161 0.835 0.323 1
S1 0.833 0.667 0.666 1
S2 0.167 0.333 0.334 1
Br1 0.500 0.000 0.000 1
```



[9]
A plane-wave DFT calculation with GGA-PBE was carried out for crystalline Pm6As2Se3Br at its relaxed geometry.

Properties
Fermi-level density of states in states/eV per cell: 5.10
SG: No. 12

Structure (CIF):
```
data_Pm6As2Se3Br
_cell_length_a 4.225
_cell_length_b 8.473
_cell_length_c 9.445
_cell_angle_alpha 102.38
_cell_angle_beta 102.92
_cell_angle_gamma 90.00
_space_group_name_H-M_alt 'P 1'
_space_group_IT_number 1
_space_group_name_Hall 'P 1'
loop_
_atom_site_label
_atom_site_fract_x
_atom_site_fract_y
_atom_site_fract_z
_atom_site_occupancy
Pm1 0.322 0.901 0.644 1
Pm2 0.669 0.579 0.339 1
Pm3 0.678 0.099 0.356 1
Pm4 0.005 0.276 0.010 1
Pm5 0.995 0.724 0.990 1
Pm6 0.331 0.421 0.661 1
As1 0.834 0.668 0.667 1
As2 0.166 0.332 0.333 1
Se1 0.500 0.500 0.000 1
Se2 0.840 0.165 0.680 1
Se3 0.160 0.835 0.320 1
Br1 0.500 0.000 0.000 1
```



[10]
A plane-wave DFT calculation with GGA-PBE was carried out for crystalline Pm6As3Se2Br at its relaxed geometry.

Properties
Fermi-level density of states in states/eV per cell: 4.57
SG: No. 12

Structure (CIF):
```
data_Pm6As3Se2Br
_cell_length_a 4.218
_cell_length_b 8.522
_cell_length_c 9.516
_cell_angle_alpha 103.56
_cell_angle_beta 102.81
_cell_angle_gamma 90.00
_space_group_name_H-M_alt 'P 1'
_space_group_IT_number 1
_space_group_name_Hall 'P 1'
loop_
_atom_site_label
_atom_site_fract_x
_atom_site_fract_y
_atom_site_fract_z
_atom_site_occupancy
Pm1 0.323 0.919 0.647 1
Pm2 0.665 0.590 0.330 1
Pm3 0.677 0.081 0.353 1
Pm4 0.998 0.273 0.996 1
Pm5 0.002 0.727 0.004 1
Pm6 0.335 0.410 0.670 1
As1 0.500 0.500 0.000 1
As2 0.837 0.166 0.673 1
As3 0.163 0.834 0.327 1
Se1 0.835 0.670 0.669 1
Se2 0.165 0.330 0.331 1
Br1 0.500 0.000 0.000 1
```



no.,ΔE_f (raw) (eV/atom),calculated volume (Å³ per cell)
1,-1.418,114.5
2,-1.011,97.9
3,-1.112,461.2
4,-0.989,344.3
5,-1.744,302.3
6,-1.713,202.5
7,-1.597,210.2
8,-1.672,310.0
9,-1.653,321.5
10,-1.636,323.8